Arrangement P

A plane-wave DFT calculation with GGA-PBEsol was carried out for a geometry-optimized Li3Pt structure.

Cell lengths 3.7767, 3.7767, 3.7767 Å; angles 90.00, 90.00, 90.00 degrees
Element x y z (fractional)
1 Pt 0.5000 0.5000 0.5000
2 Li 0.0000 0.0000 0.5000
3 Li 0.0000 0.5000 0.0000
4 Li 0.5000 0.0000 0.0000

Summary:
Symmetry = Pm-3m
Density of states at the Fermi level = 1.39 states/eV/cell

---

Arrangement Q

A plane-wave DFT calculation with GGA-PBEsol was carried out for a geometry-optimized Li3Pt structure.

Cell lengths 2.7596, 4.3261, 4.6751 Å; angles 90.00, 90.00, 90.00 degrees
Element x y z (fractional)
1 Pt 0.0000 0.5000 0.3281
2 Li 0.0000 0.0000 0.0316
3 Li 0.5000 0.0000 0.4810
4 Li 0.5000 0.5000 0.8260

Summary:
Symmetry = Pmm2
Density of states at the Fermi level = 1.32 states/eV/cell

---

Least stable = arrangement P

---

Arrangement P

A plane-wave DFT calculation with GGA-PBEsol was carried out for a geometry-optimized P2OsPt structure.

Cell lengths 2.8031, 4.8881, 5.0104 Å; angles 119.20, 106.24, 90.00 degrees
Element x y z (fractional)
1 Os 0.0000 0.5000 0.0000
2 P 0.7373 0.7373 0.4746
3 P 0.2627 0.2627 0.5254
4 Pt 0.5000 0.0000 0.0000

Summary:
Symmetry = Immm
Density of states at the Fermi level = 3.06 states/eV/cell

---

Arrangement Q

A plane-wave DFT calculation with GGA-PBEsol was carried out for a geometry-optimized P2OsPt structure.

Cell lengths 2.7920, 2.8261, 8.2888 Å; angles 90.00, 90.00, 119.60 degrees
Element x y z (fractional)
1 Os 0.5000 0.0000 0.0000
2 P 0.0000 0.0000 0.7626
3 P 0.0000 0.0000 0.2374
4 Pt 0.5000 0.0000 0.5000

Summary:
Symmetry = Cmmm
Density of states at the Fermi level = 2.73 states/eV/cell

---

Least stable = arrangement P

---

Arrangement P

A plane-wave DFT calculation with GGA-PBEsol was carried out for a geometry-optimized Li2WS4 structure.

Cell lengths 6.0103, 7.5737, 12.7432 Å; angles 90.00, 90.00, 90.00 degrees
Element x y z (fractional)
1 Li 0.0000 0.0000 0.0000
2 Li 0.0000 0.5000 0.0000
3 Li 0.4994 0.2500 0.2360
4 Li 0.9994 0.7500 0.2640
5 Li 0.5000 0.0000 0.5000
6 Li 0.5000 0.5000 0.5000
7 Li 0.0006 0.2500 0.7360
8 Li 0.5006 0.7500 0.7640
9 W 0.6224 0.7500 0.0896
10 W 0.1224 0.2500 0.4104
11 W 0.8776 0.7500 0.5896
12 W 0.3776 0.2500 0.9104
13 S 0.2487 0.2500 0.0721
14 S 0.2598 0.7500 0.0909
15 S 0.7534 0.9846 0.1700
16 S 0.7534 0.5154 0.1700
17 S 0.2534 0.4846 0.3300
18 S 0.2534 0.0154 0.3300
19 S 0.7598 0.2500 0.4091
20 S 0.7487 0.7500 0.4279
21 S 0.2513 0.2500 0.5721
22 S 0.2402 0.7500 0.5909
23 S 0.7466 0.9846 0.6700
24 S 0.7466 0.5154 0.6700
25 S 0.2466 0.4846 0.8300
26 S 0.2466 0.0154 0.8300
27 S 0.7402 0.2500 0.9091
28 S 0.7513 0.7500 0.9279

Summary:
Symmetry = Pnma
Density of states at the Fermi level = 0.00 states/eV/cell

---

Arrangement Q

A plane-wave DFT calculation with GGA-PBEsol was carried out for a geometry-optimized Li2WS4 structure.

Cell lengths 6.0198, 6.3299, 6.0198 Å; angles 61.61, 90.00, 118.39 degrees
Element x y z (fractional)
1 S 0.6547 0.7357 0.3453
2 S 0.3453 0.2643 0.0810
3 S 0.0810 0.7357 0.9190
4 S 0.9190 0.2643 0.6547
5 W 0.0000 0.0000 0.0000
6 Li 0.5000 0.0000 0.0000
7 Li 0.0000 0.0000 0.5000

Summary:
Symmetry = I-42m
Density of states at the Fermi level = 0.00 states/eV/cell

---

Least stable = arrangement Q

---

Arrangement P

A plane-wave DFT calculation with GGA-PBEsol was carried out for a geometry-optimized TaSi2Br structure.

Cell lengths 2.9187, 4.6615, 4.8577 Å; angles 90.00, 90.00, 90.00 degrees
Element x y z (fractional)
1 Br 0.0000 0.5000 0.5000
2 Si 0.0000 0.0000 0.0000
3 Si 0.5000 0.5000 0.0000
4 Ta 0.5000 0.0000 0.5000

Summary:
Symmetry = Pmmm
Density of states at the Fermi level = 2.78 states/eV/cell

---

Arrangement Q

A plane-wave DFT calculation with GGA-PBEsol was carried out for a geometry-optimized TaSi2Br structure.

Cell lengths 2.8513, 5.0339, 5.6848 Å; angles 116.28, 104.52, 90.00 degrees
Element x y z (fractional)
1 Br 0.2184 0.7184 0.4369
2 Si 0.0292 0.0292 0.0585
3 Si 0.7602 0.2602 0.5204
4 Ta 0.4921 0.4921 0.9842

Summary:
Symmetry = Imm2
Density of states at the Fermi level = 1.67 states/eV/cell

---

Least stable = arrangement P

---

Arrangement P

A plane-wave DFT calculation with GGA-PBEsol was carried out for a geometry-optimized Tc3Ru structure.

Cell lengths 4.6873, 5.4403, 8.6480 Å; angles 90.00, 90.00, 90.00 degrees
Element x y z (fractional)
1 Ru 0.9135 0.3764 0.2500
2 Ru 0.5865 0.8764 0.7500
3 Ru 0.4135 0.1236 0.2500
4 Ru 0.0865 0.6236 0.7500
5 Tc 0.0871 0.1234 0.7500
6 Tc 0.7532 0.6246 0.9965
7 Tc 0.7532 0.6246 0.5035
8 Tc 0.7468 0.1246 0.4965
9 Tc 0.7468 0.1246 0.0035
10 Tc 0.4129 0.6234 0.2500
11 Tc 0.5871 0.3766 0.7500
12 Tc 0.2532 0.8754 0.9965
13 Tc 0.2532 0.8754 0.5035
14 Tc 0.2468 0.3754 0.4965
15 Tc 0.2468 0.3754 0.0035
16 Tc 0.9129 0.8766 0.2500

Summary:
Symmetry = Pnma
Density of states at the Fermi level = 14.09 states/eV/cell

---

Arrangement Q

A plane-wave DFT calculation with GGA-PBEsol was carried out for a geometry-optimized Tc3Ru structure.

Cell lengths 2.7153, 2.7153, 8.6186 Å; angles 90.00, 90.00, 120.00 degrees
Element x y z (fractional)
1 Ru 0.0000 0.0000 0.0000
2 Tc 0.0000 0.0000 0.5000
3 Tc 0.6667 0.3333 0.7522
4 Tc 0.6667 0.3333 0.2478

Summary:
Symmetry = P-6m2
Density of states at the Fermi level = 3.78 states/eV/cell

---

Least stable = arrangement P

---

Arrangement P

A plane-wave DFT calculation with GGA-PBEsol was carried out for a geometry-optimized LiCa2Cd structure.

Cell lengths 3.7702, 3.7702, 10.5211 Å; angles 79.68, 79.68, 60.00 degrees
Element x y z (fractional)
1 Ca 0.2433 0.2433 0.2701
2 Ca 0.7567 0.7567 0.7299
3 Cd 0.5000 0.5000 0.5000
4 Li 0.0000 0.0000 0.0000

Summary:
Symmetry = R-3m
Density of states at the Fermi level = 3.11 states/eV/cell

---

Arrangement Q

A plane-wave DFT calculation with GGA-PBEsol was carried out for a geometry-optimized LiCa2Cd structure.

Cell lengths 3.6825, 5.5345, 6.1555 Å; angles 109.28, 107.41, 90.00 degrees
Element x y z (fractional)
1 Ca 0.9855 0.9621 0.9710
2 Ca 0.7770 0.3064 0.5540
3 Cd 0.5240 0.4896 0.0480
4 Li 0.2135 0.7418 0.4270

Summary:
Symmetry = Cm
Density of states at the Fermi level = 3.14 states/eV/cell

---

Least stable = arrangement P